Here is a geometry-optimized MgPaSi2 structure from Alexandria via LeMat-Bulk. Energies are from PBE.

Output
N(E_F): 33.35 states/eV/cell
Space-group type: No. 62
Raw formation energy: -0.310 eV/atom

a = 4.1303 Å, b = 11.1676 Å, c = 13.3699 Å
α = 90.00°, β = 90.00°, γ = 90.00°
Closest atoms and distances in Å follow each position.
Positions (direct):
Pa 0.7500 0.4442 0.6919  8 Si 3.02-3.09, 1 Mg 3.37
Si 0.7500 0.7168 0.7140  2 Si 2.38-2.49, 2 Mg 2.58
Mg 0.2500 0.0418 0.5619  4 Si 2.67-2.74, 4 Mg 2.81-2.90
Pa 0.2500 0.7728 0.0574  9 Si 2.94-3.13
Mg 0.2500 0.8573 0.3114  5 Si 2.58-2.77
Mg 0.7500 0.1427 0.6886  5 Si 2.58-2.77
Mg 0.7500 0.9582 0.4381  4 Si 2.67-2.74, 4 Mg 2.81-2.90
Si 0.2500 0.2832 0.2860  2 Si 2.38-2.49, 2 Mg 2.58
Si 0.2500 0.2753 0.6063  2 Si 2.34-2.49
Si 0.7500 0.9100 0.6389  1 Si 2.38
Pa 0.7500 0.2272 0.9426  9 Si 2.94-3.13
Si 0.2500 0.0397 0.0234  3 Si 2.33-2.34
Si 0.7500 0.7832 0.2140  2 Si 2.38-2.49, 2 Mg 2.58
Pa 0.2500 0.9442 0.8081  8 Si 3.02-3.09, 1 Mg 3.37
Pa 0.2500 0.7272 0.5574  9 Si 2.94-3.13
Si 0.2500 0.2247 0.1063  2 Si 2.34-2.49
Mg 0.2500 0.6427 0.8114  5 Si 2.58-2.77
Si 0.2500 0.4100 0.8611  1 Si 2.38
Mg 0.7500 0.3573 0.1886  5 Si 2.58-2.77
Si 0.7500 0.9603 0.9766  3 Si 2.33-2.34
Si 0.2500 0.2168 0.7860  2 Si 2.38-2.49, 2 Mg 2.58
Si 0.2500 0.0900 0.3611  1 Si 2.38
Si 0.7500 0.5900 0.1389  1 Si 2.38
Pa 0.2500 0.5558 0.3081  8 Si 3.02-3.09, 1 Mg 3.37
Si 0.7500 0.7753 0.8937  2 Si 2.34-2.49
Pa 0.7500 0.0558 0.1919  8 Si 3.02-3.09, 1 Mg 3.37
Mg 0.2500 0.4582 0.0619  4 Si 2.67-2.74, 4 Mg 2.81-2.90
Si 0.7500 0.7247 0.3937  2 Si 2.34-2.49
Si 0.2500 0.4603 0.5234  3 Si 2.33-2.34
Pa 0.7500 0.2728 0.4426  9 Si 2.94-3.13
Mg 0.7500 0.5418 0.9381  4 Si 2.67-2.74, 4 Mg 2.81-2.90
Si 0.7500 0.5397 0.4766  3 Si 2.33-2.34

---

Here is a geometry-optimized MgPaSi2 structure from Alexandria via LeMat-Bulk. Energies are from PBE.

Output
N(E_F): 3.10 states/eV/cell
Space-group type: No. 123
Raw formation energy: -0.303 eV/atom

a = 3.9114 Å, b = 4.4445 Å, c = 4.4445 Å
α = 90.00°, β = 90.00°, γ = 90.00°
Closest atoms and distances in Å follow each position.
Positions (direct):
Si 0.0000 0.5000 0.0000  4 Mg 2.96, 4 Pa 2.96, 4 Si 3.14
Mg 0.5000 0.0000 0.0000  8 Si 2.96, 4 Pa 3.14
Si 0.0000 0.0000 0.5000  4 Pa 2.96, 4 Mg 2.96, 4 Si 3.14
Pa 0.5000 0.5000 0.5000  8 Si 2.96, 4 Mg 3.14

---

Here is a geometry-optimized MgPaSi4 structure from Alexandria via LeMat-Bulk. Energies are from PBE.

Output
N(E_F): 3.17 states/eV/cell
Space-group type: No. 216
Raw formation energy: -0.129 eV/atom

a = 5.2271 Å, b = 5.2271 Å, c = 5.2271 Å
α = 60.00°, β = 60.00°, γ = 60.00°
Closest atoms and distances in Å follow each position.
Positions (direct):
Si 0.6230 0.6230 0.6230  6 Si 2.57-2.65
Si 0.1309 0.6230 0.6230  6 Si 2.57-2.65
Si 0.6230 0.1309 0.6230  6 Si 2.57-2.65
Mg 0.2500 0.2500 0.2500  12 Si 3.06, 4 Pa 3.20
Si 0.6230 0.6230 0.1309  6 Si 2.57-2.65
Pa 0.0000 0.0000 0.0000  12 Si 3.07, 4 Mg 3.20

---

Here is a geometry-optimized MgPa2Si2 structure from Alexandria via LeMat-Bulk. Energies are from PBE.

Output
N(E_F): 17.23 states/eV/cell
Space-group type: No. 127
Raw formation energy: -0.373 eV/atom

a = 4.3599 Å, b = 6.9342 Å, c = 6.9342 Å
α = 90.00°, β = 90.00°, γ = 90.00°
Closest atoms and distances in Å follow each position.
Positions (direct):
Pa 0.5000 0.8223 0.3223  6 Si 2.94-3.04
Pa 0.5000 0.1777 0.6777  6 Si 2.94-3.04
Si 0.0000 0.1219 0.3781  1 Si 2.39
Pa 0.5000 0.3223 0.1777  6 Si 2.94-3.04
Si 0.0000 0.8781 0.6219  1 Si 2.39
Pa 0.5000 0.6777 0.8223  6 Si 2.94-3.04
Si 0.0000 0.3781 0.8781  1 Si 2.39
Mg 0.0000 0.5000 0.5000  4 Si 2.75
Mg 0.0000 0.0000 0.0000  4 Si 2.75
Si 0.0000 0.6219 0.1219  1 Si 2.39

---

Here is a geometry-optimized SmMg4Pa structure from Alexandria via LeMat-Bulk. Energies are from PBE.

Output
N(E_F): 6.23 states/eV/cell
Space-group type: No. 216
Raw total energy: -3.284 eV/atom

a = 5.9733 Å, b = 5.9733 Å, c = 5.9733 Å
α = 60.00°, β = 60.00°, γ = 60.00°
Closest atoms and distances in Å follow each position.
Positions (direct):
Mg 0.6249 0.6249 0.1254  6 Mg 2.98-2.99
Mg 0.1254 0.6249 0.6249  6 Mg 2.98-2.99
Pa 0.2500 0.2500 0.2500  12 Mg 3.50, 4 Sm 3.66
Mg 0.6249 0.1254 0.6249  6 Mg 2.98-2.99
Sm 0.0000 0.0000 0.0000  12 Mg 3.50, 4 Pa 3.66
Mg 0.6249 0.6249 0.6249  6 Mg 2.98-2.99

---

Here is a geometry-optimized Sm2MgPa structure from Alexandria via LeMat-Bulk. Energies are from PBE.

Output
Polymorph energy (0 for the lowest one): 228.4 meV/atom
N(E_F): 6.89 states/eV/cell
Space-group type: No. 166

a = 3.2621 Å, b = 3.2621 Å, c = 12.5221 Å
α = 82.52°, β = 82.52°, γ = 60.00°
Closest atoms and distances in Å follow each position.
Positions (direct):
Pa 0.0000 0.0000 0.0000  2 Sm 3.24, 6 Pa 3.26
Mg 0.5000 0.5000 0.5000  6 Mg 3.26, 6 Sm 3.50
Sm 0.9127 0.9127 0.2619  1 Pa 3.24, 6 Sm 3.26, 3 Mg 3.50
Sm 0.0873 0.0873 0.7381  1 Pa 3.24, 6 Sm 3.26, 3 Mg 3.50

---

Here is a geometry-optimized Sm2MgPa structure from Alexandria via LeMat-Bulk. Energies are from PBE.

Output
Polymorph energy (0 for the lowest one): 0.0 meV/atom
N(E_F): 4.72 states/eV/cell
Space-group type: No. 123

a = 3.4256 Å, b = 3.4256 Å, c = 9.7564 Å
α = 90.00°, β = 90.00°, γ = 90.00°
Closest atoms and distances in Å follow each position.
Positions (direct):
Mg 0.5000 0.5000 0.0000  4 Mg 3.43, 8 Sm 3.44
Pa 0.5000 0.5000 0.5000  4 Pa 3.43, 8 Sm 3.43
Sm 0.0000 0.0000 0.7490  4 Sm 3.43, 4 Pa 3.43, 4 Mg 3.44
Sm 0.0000 0.0000 0.2510  4 Sm 3.43, 4 Pa 3.43, 4 Mg 3.44

---

Here is a geometry-optimized Sm2MgPa structure from Alexandria via LeMat-Bulk. Energies are from PBE.

Output
Polymorph energy (0 for the lowest one): 111.9 meV/atom
N(E_F): 7.98 states/eV/cell
Space-group type: No. 123

a = 3.4559 Å, b = 5.7204 Å, c = 5.7204 Å
α = 90.00°, β = 90.00°, γ = 90.00°
Closest atoms and distances in Å follow each position.
Positions (direct):
Pa 0.5000 0.0000 0.0000  8 Sm 3.34, 2 Pa 3.46
Sm 0.0000 0.5000 0.0000  4 Pa 3.34, 4 Mg 3.34, 2 Sm 3.46
Sm 0.0000 0.0000 0.5000  4 Mg 3.34, 4 Pa 3.34, 2 Sm 3.46
Mg 0.5000 0.5000 0.5000  8 Sm 3.34, 2 Mg 3.46

---

Here is a geometry-optimized Sm2MgPa structure from Alexandria via LeMat-Bulk. Energies are from PBE.

Output
Polymorph energy (0 for the lowest one): 262.9 meV/atom
N(E_F): 8.71 states/eV/cell
Space-group type: No. 225

a = 5.4491 Å, b = 5.4491 Å, c = 5.4491 Å
α = 60.00°, β = 60.00°, γ = 60.00°
Closest atoms and distances in Å follow each position.
Positions (direct):
Mg 0.5000 0.5000 0.5000  8 Sm 3.34
Pa 0.0000 0.0000 0.0000  8 Sm 3.34
Sm 0.7500 0.7500 0.7500  4 Pa 3.34, 4 Mg 3.34
Sm 0.2500 0.2500 0.2500  4 Mg 3.34, 4 Pa 3.34

---

Here is a geometry-optimized TbSmMgPa structure from Alexandria via LeMat-Bulk. Energies are from PBE.

Output
N(E_F): 8.62 states/eV/cell
Space-group type: No. 216
Raw total energy: -4.770 eV/atom

a = 5.4201 Å, b = 5.4201 Å, c = 5.4201 Å
α = 60.00°, β = 60.00°, γ = 60.00°
Closest atoms and distances in Å follow each position.
Positions (direct):
Pa 0.5000 0.5000 0.5000  4 Sm 3.32, 4 Tb 3.32
Tb 0.7500 0.7500 0.7500  4 Pa 3.32, 4 Mg 3.32
Mg 0.0000 0.0000 0.0000  4 Tb 3.32, 4 Sm 3.32
Sm 0.2500 0.2500 0.2500  4 Mg 3.32, 4 Pa 3.32

---

Here is a geometry-optimized SmMgPaTc structure from Alexandria via LeMat-Bulk. Energies are from PBE.

Output
N(E_F): 5.57 states/eV/cell
Space-group type: No. 216
Raw total energy: -6.370 eV/atom

a = 5.0650 Å, b = 5.0650 Å, c = 5.0650 Å
α = 60.00°, β = 60.00°, γ = 60.00°
Closest atoms and distances in Å follow each position.
Positions (direct):
Pa 0.0000 0.0000 0.0000  4 Mg 3.10, 4 Tc 3.10
Tc 0.2500 0.2500 0.2500  4 Pa 3.10, 4 Sm 3.10
Sm 0.5000 0.5000 0.5000  4 Tc 3.10, 4 Mg 3.10
Mg 0.7500 0.7500 0.7500  4 Pa 3.10, 4 Sm 3.10

---

Here is a geometry-optimized MgPa2Sn9 structure from Alexandria via LeMat-Bulk. Energies are from PBE.

Output
N(E_F): 12.19 states/eV/cell
Space-group type: No. 123
Raw total energy: -4.892 eV/atom

a = 4.6024 Å, b = 4.6024 Å, c = 14.4566 Å
α = 90.00°, β = 90.00°, γ = 90.00°
Closest atoms and distances in Å follow each position.
Positions (direct):
Sn 0.5000 0.0000 0.5000  4 Pa 3.24, 8 Sn 3.25-3.32
Sn 0.5000 0.5000 0.6660  4 Pa 3.26, 8 Sn 3.32-3.33
Sn 0.5000 0.0000 0.8321  8 Sn 3.25-3.35, 2 Mg 3.35, 2 Pa 3.41
Pa 0.0000 0.0000 0.3419  12 Sn 3.24-3.41
Sn 0.0000 0.5000 0.1679  8 Sn 3.25-3.35, 2 Mg 3.35, 2 Pa 3.41
Sn 0.0000 0.5000 0.5000  4 Pa 3.24, 8 Sn 3.25-3.32
Sn 0.5000 0.5000 0.0000  4 Mg 3.25, 8 Sn 3.35
Sn 0.5000 0.5000 0.3340  4 Pa 3.26, 8 Sn 3.32-3.33
Sn 0.0000 0.5000 0.8321  8 Sn 3.25-3.35, 2 Mg 3.35, 2 Pa 3.41
Pa 0.0000 0.0000 0.6581  12 Sn 3.24-3.41
Mg 0.0000 0.0000 0.0000  12 Sn 3.25-3.35
Sn 0.5000 0.0000 0.1679  8 Sn 3.25-3.35, 2 Mg 3.35, 2 Pa 3.41